This record from Alexandria via LeMat-Bulk describes a geometry-optimized Al3CoSn structure. The functional is PBEsol.

Cell lengths 4.517, 4.517, 4.517 Å; angles 90.00, 90.00, 90.00 degrees
Fractional positions:
Co1 0.000 0.000 0.000
Sn1 0.500 0.500 0.500
Al1 0.000 0.500 0.000
Al2 0.000 0.000 0.500
Al3 0.500 0.000 0.000

Computed properties:
The value obtained for the final energy is -4.832 eV/atom.